(1)
VASP calculation (PBE-GGA) on crystalline LiGeAu5 at its relaxed geometry.

The structure in POSCAR format:
```
LiGeAu5
1.0
2.800 -3.881 0.000
2.800 3.881 0.000
0.000 0.000 11.661
Au Ge Li
10 2 2
Direct
0.832 0.435 0.395
0.565 0.168 0.895
0.832 0.435 0.105
0.041 0.041 0.750
0.959 0.959 0.250
0.435 0.832 0.395
0.168 0.565 0.895
0.435 0.832 0.105
0.168 0.565 0.605
0.565 0.168 0.605
0.403 0.403 0.250
0.597 0.597 0.750
0.000 0.000 0.000
0.000 0.000 0.500
```

Properties
E: -48.1 eV/cell
Formation energy: -0.16 eV per atom
Density of states at the Fermi level: 0.218 states/eV per atom
SG: Cmcm
Spin magnetization: 0.00 Bohr magnetons per cell

***

(2)
VASP calculation (PBE-GGA) on crystalline LiGeAu at its relaxed geometry.

The structure in POSCAR format:
```
LiGeAu
1.0
-2.714 2.625 2.066
-3.155 -1.642 2.425
0.181 0.342 4.287
Au Ge Li
1 1 1
Direct
0.250 0.250 0.250
0.000 0.000 0.000
0.500 0.500 0.500
```

Properties
E: -10.7 eV/cell
Formation energy: -0.29 eV per atom
Density of states at the Fermi level: 0.564 states/eV per atom
SG: F-43m
Spin magnetization: 0.00 Bohr magnetons per cell

***

(3)
VASP calculation (PBE-GGA) on crystalline LiGe2Au at its relaxed geometry.

The structure in POSCAR format:
```
LiGe2Au
1.0
-0.934 -1.444 -3.778
1.118 -3.737 1.151
-3.801 -0.759 1.230
Li Au Ge
1 1 2
Direct
0.500 0.500 0.500
0.500 0.000 0.000
0.000 0.500 0.000
0.000 0.000 0.500
```

Properties
E: -15.0 eV/cell
Formation energy: -0.15 eV per atom
ΔE to the lowest computed polymorph: 0 meV per atom
Density of states at the Fermi level: 0.274 states/eV per atom
SG: P4/mmm
Spin magnetization: 0.00 Bohr magnetons per cell

***

(4)
VASP calculation (PBE-GGA) on crystalline Li3GeAu at its relaxed geometry.

The structure in POSCAR format:
```
Li3GeAu
1.0
-6.079 -2.116 0.625
3.081 0.853 -5.621
4.734 -4.048 1.739
Ge Li Au
2 6 2
Direct
0.591 0.781 0.310
0.471 0.281 0.690
0.969 0.782 0.688
0.094 0.282 0.312
0.032 0.810 0.278
0.532 0.754 0.722
0.032 0.254 0.722
0.532 0.310 0.278
0.031 0.531 0.000
0.531 0.031 0.000
```

Properties
E: -30.0 eV/cell
Formation energy: -0.27 eV per atom
ΔE to the lowest computed polymorph: 133 meV per atom
Density of states at the Fermi level: 0.353 states/eV per atom
SG: Imma
Spin magnetization: 0.00 Bohr magnetons per cell